A plane-wave DFT calculation with SCAN was carried out for a PBEsol-optimized structure of ZrTa3Pb.

## Properties
- Formation enthalpy at 0 K: 9.30 eV/f.u.
- Space-group type: Pm-3m
- Calculated density: 12.0 g cm⁻³

The structure in POSCAR format:
```
ZrTa3Pb
1.0
4.885 0.000 0.000
0.000 4.885 0.000
0.000 0.000 4.885
Zr Ta Pb
1 3 1
Cartesian
0.000 0.000 0.000
0.000 0.000 2.442
0.000 2.442 0.000
2.442 0.000 0.000
2.442 2.442 2.442
```